Record 1
Ga2Cu5Pt12 after structural relaxation. Source: Alexandria, functional PBE.

```
19
Lattice="8.2076 -2.7218 0.0000 8.2076 2.7218 0.0000 -0.7868 0.0000 6.9383" Properties=species:S:1:pos:R:3 pbc="T T T"
Ga 8.2076 1.3891 0.0000
Ga 8.2076 -1.3891 0.0000
Cu -0.3934 0.0000 3.4691
Cu 3.6810 0.0000 3.4738
Cu 5.9644 0.0000 0.5345
Cu 9.6640 0.0000 6.4038
Cu 11.9475 0.0000 3.4645
Pt 3.7565 1.3508 5.7076
Pt 1.3853 0.0000 1.5923
Pt 5.8451 1.3402 2.8265
Pt 9.7834 1.3402 4.1118
Pt 11.8719 1.3508 1.2307
Pt 7.4389 0.0000 4.8240
Pt 8.1896 0.0000 2.1143
Pt 3.7565 -1.3508 5.7076
Pt 5.8451 -1.3402 2.8265
Pt 9.7834 -1.3402 4.1118
Pt 14.2431 0.0000 5.3460
Pt 11.8719 -1.3508 1.2307
```

Computed properties:
electronic total energy = -5.205 eV/atom
E_form = 0.006 eV/atom
spin magnetization = 0.00 μB per atom



Record 2
SnBiNO2 after structural relaxation. Source: Alexandria, functional PBE.

```
5
Lattice="4.0553 0.0000 0.0000 0.0000 4.0553 0.0000 0.0000 0.0000 4.2361" Properties=species:S:1:pos:R:3 pbc="T T T"
Sn 0.0000 0.0000 0.0000
Bi 2.0277 2.0277 2.1180
N 0.0000 0.0000 2.1180
O 0.0000 2.0277 0.0000
O 2.0277 0.0000 0.0000
```

Computed properties:
electronic total energy = -5.636 eV/atom
raw formation energy = -0.41 eV per atom
spin magnetization = 0.00 μB per atom



Record 3
As2HRhF after structural relaxation. Source: Alexandria, functional PBE.

```
5
Lattice="3.9480 0.0000 0.0000 0.0000 3.9480 0.0000 0.0000 0.0000 4.0301" Properties=species:S:1:pos:R:3 pbc="T T T"
As 0.0000 1.9740 0.0000
As 1.9740 0.0000 0.0000
H 0.0000 0.0000 0.0000
Rh 1.9740 1.9740 2.0150
F 0.0000 0.0000 2.0150
```

Computed properties:
electronic total energy = -4.252 eV/atom
spin magnetization = 0.00 μB per atom